Entry from the Alexandria database: a relaxed SrCdFe2 crystal (GGA-PBE).

Lattice parameters (Å, degrees): 4.7226 3.1560 6.1365 82.20 90.00 90.00
Last column: nearest neighbours and their distance in Å.
Sites, in units of the cell vectors:
1 Fe 0.0000 0.9768 0.8958  2 Fe 2.31-2.44
2 Fe 0.0000 0.5232 0.6042  2 Fe 2.31-2.44
3 Sr 0.5000 0.2500 0.2500  2 Sr 3.16, 2 Cd 3.25, 4 Fe 3.40
4 Cd 0.5000 0.7500 0.7500  4 Fe 2.66

## Properties
The total energy comes out at -4.317 eV per atom. Its space group is P2/m, No. 10. The calculation puts the energy of formation at 54.42 kJ per mole of atoms. For the total moment, the calculation gives 1.319 μB per atom.